Record 1
The following is a PBE calculation of PmBe2SiRh2 after structural relaxation, from Alexandria via LeMat-Bulk.

Cell lengths 4.0908, 4.0908, 5.6307 Å; angles 90.00, 90.00, 90.00 degrees
Atoms (fractional coordinates):
Be  0.5000  0.0000  0.0000
Be  0.0000  0.5000  0.0000
Rh  0.5000  0.5000  0.2429
Rh  0.5000  0.5000  0.7571
Si  0.0000  0.0000  0.0000
Pm  0.0000  0.0000  0.5000

Values from the calculation:
For the mass density, the calculation gives 6995 kg/m³. Its space group is P4/mmm, No. 123. The uncorrected formation energy is -0.10 eV/atom.


Record 2
The following is a PBE calculation of Tl4AgAs after structural relaxation, from Alexandria via LeMat-Bulk.

Cell lengths 7.5961, 7.5961, 7.9661 Å; angles 118.47, 118.47, 90.00 degrees
Atoms (fractional coordinates):
Tl  0.9806  0.7902  0.2707
Tl  0.0194  0.2098  0.7293
Tl  0.2902  0.4806  0.2707
Tl  0.7902  0.2902  0.2707
Tl  0.2098  0.7098  0.7293
Tl  0.5194  0.0194  0.7293
Tl  0.4806  0.9806  0.2707
Tl  0.7098  0.5194  0.7293
Ag  0.5000  0.5000  0.0000
Ag  0.0000  0.0000  0.0000
As  0.7500  0.7500  0.5000
As  0.2500  0.2500  0.5000

Values from the calculation:
For the mass density, the calculation gives 9787 kg/m³. Its space group is I4/mcm, No. 140. The formation enthalpy at 0 K comes out at 0.5 eV/f.u.